# 1
An optimized crystal structure of Sm2NbTcN5, computed with GGA-PBE.

abc: 3.315 6.919 10.420
angles: 90.00 90.00 103.86
Fractional positions:
Sm: 0.856 0.712 0.795
Sm: 0.111 0.222 0.700
Sm: 0.144 0.288 0.295
Sm: 0.889 0.778 0.200
Nb: 0.779 0.558 0.512
Nb: 0.221 0.442 0.012
Tc: 0.524 0.049 0.962
Tc: 0.476 0.951 0.462
N: 0.366 0.732 0.000
N: 0.680 0.361 0.877
N: 0.490 0.980 0.784
N: 0.284 0.567 0.648
N: 0.955 0.910 0.547
N: 0.634 0.268 0.500
N: 0.320 0.639 0.377
N: 0.510 0.020 0.284
N: 0.716 0.433 0.148
N: 0.045 0.090 0.047

* calculated total energy: -159.93 eV per cell


# 2
An optimized crystal structure of Sm2ThNbN4, computed with GGA-PBE.

abc: 3.468 6.032 6.028
angles: 108.82 90.00 90.00
Fractional positions:
Sm: 0.500 0.000 0.500
Sm: 0.000 0.500 0.500
Th: 0.500 0.500 0.000
Nb: 0.000 0.000 0.000
N: 0.500 0.224 0.221
N: 0.500 0.776 0.779
N: 0.000 0.234 0.770
N: 0.000 0.766 0.230

* calculated total energy: -70.79 eV per cell


# 3
An optimized crystal structure of Sm2TiNbN5, computed with GGA-PBE.

abc: 3.330 6.919 10.444
angles: 90.00 90.00 103.92
Fractional positions:
Sm: 0.861 0.723 0.790
Sm: 0.106 0.211 0.690
Sm: 0.139 0.277 0.290
Sm: 0.894 0.789 0.190
Ti: 0.527 0.053 0.963
Ti: 0.473 0.947 0.463
Nb: 0.780 0.560 0.508
Nb: 0.220 0.440 0.008
N: 0.370 0.739 0.998
N: 0.688 0.376 0.888
N: 0.497 0.994 0.785
N: 0.279 0.558 0.651
N: 0.945 0.890 0.549
N: 0.630 0.261 0.498
N: 0.312 0.624 0.388
N: 0.503 0.006 0.285
N: 0.721 0.442 0.151
N: 0.055 0.110 0.049

* calculated total energy: -161.64 eV per cell


# 4
An optimized crystal structure of SmUNbN3, computed with GGA-PBE.

abc: 3.276 7.183 8.214
angles: 92.15 90.00 90.00
Fractional positions:
Sm: 0.750 0.866 0.827
Sm: 0.250 0.134 0.173
U: 0.250 0.628 0.158
U: 0.750 0.372 0.842
Nb: 0.250 0.137 0.563
Nb: 0.750 0.863 0.437
N: 0.250 0.834 0.599
N: 0.750 0.854 0.151
N: 0.750 0.404 0.104
N: 0.750 0.166 0.401
N: 0.250 0.596 0.896
N: 0.250 0.146 0.849

* calculated total energy: -114.30 eV per cell


- Number 1 is which compound?
  Sm2NbTcN5


- What is the calculated total energy in the third record?
  -161.64 eV per cell